Record 1
LiSm4Au2: relaxed, PBE.

Its formation enthalpy at 0 K is -0.3391 eV/atom.

Cell: 5.1224 5.1224 26.1215 Å, 90.00 90.00 120.00°
Space group R-3m (No. 166, hexagonal axes)
Symmetry-distinct sites (fractional):
Li  0.0000  0.0000  0.0000 (multiplicity 3)
Sm  0.0000  0.0000  0.2098 (multiplicity 6)
Sm  0.0000  0.0000  0.3782 (multiplicity 6)
Au  0.0000  0.0000  0.0950 (multiplicity 6)

---

Record 2
Li4SmAu2: relaxed, PBE.

Its formation enthalpy at 0 K is -0.4672 eV/atom.

Cell: 7.8009 7.8009 4.3509 Å, 90.00 90.00 90.00°
Space group P4_2/mnm (No. 136)
Symmetry-distinct sites (fractional):
Li  0.0968  0.3488  0.0000 (multiplicity 8)
Sm  0.0000  0.0000  0.5000 (multiplicity 2)
Au  0.2125  0.7875  0.0000 (multiplicity 4)

---

Record 3
Li2SmAu: relaxed, PBE.

Its formation enthalpy at 0 K is -0.3379 eV/atom. The value obtained for the polymorph energy (0 for the lowest one) is 61 meV/atom.

Cell: 5.6817 12.4016 5.5363 Å, 90.00 111.03 90.00°
Space group C2/c (No. 15)
Symmetry-distinct sites (fractional):
Li  0.1772  0.0842  0.1085 (multiplicity 8)
Sm  0.0000  0.3447  0.2500 (multiplicity 4)
Au  0.0000  0.2422  0.7500 (multiplicity 4)

---

Which value of formation enthalpy at 0 K does entry 1 give? -0.3391 eV/atom